1.
# BeNi4Au GGA-PBE relaxed
data_BeNi4Au
_chemical_formula_sum 'Be4 Ni16 Au4'
_symmetry_space_group_name_H-M 'F -4 3 m'
_symmetry_Int_Tables_number 216
_symmetry_space_group_name_Hall 'F -4 2 3'
_cell_length_a 6.6322
_cell_length_b 6.6322
_cell_length_c 6.6322
_cell_angle_alpha 90.00
_cell_angle_beta 90.00
_cell_angle_gamma 90.00
loop_
_atom_site_label
_atom_site_type_symbol
_atom_site_fract_x
_atom_site_fract_y
_atom_site_fract_z
_atom_site_occupancy
Be1 Be 0.0000 0.0000 0.0000 1
Ni1 Ni 0.1254 0.1254 0.6254 1
Au1 Au 0.2500 0.2500 0.2500 1
# Crystal system: cubic
# Magnetization, μB/f.u.: 0.76
# Formation energy, eV per formula unit: 0.9

***

2.
# Be2NiAu GGA-PBE relaxed
data_Be2NiAu
_chemical_formula_sum 'Be6 Ni3 Au3'
_symmetry_space_group_name_H-M 'R 3 m'
_symmetry_Int_Tables_number 160
_symmetry_space_group_name_Hall 'R 3 -2"'
_cell_length_a 3.5929
_cell_length_b 3.5929
_cell_length_c 12.8466
_cell_angle_alpha 90.00
_cell_angle_beta 90.00
_cell_angle_gamma 120.00
loop_
_atom_site_label
_atom_site_type_symbol
_atom_site_fract_x
_atom_site_fract_y
_atom_site_fract_z
_atom_site_occupancy
Be1 Be 0.0000 0.0000 0.0000 1
Be2 Be 0.0000 0.0000 0.2196 1
Ni1 Ni 0.0000 0.0000 0.6358 1
Au1 Au 0.0000 0.0000 0.4378 1
# Crystal system: trigonal
# Magnetization, μB/f.u.: 0.00
# Formation energy, eV per formula unit: -0.2

***

3.
# Be2NiAu2 GGA-PBE relaxed
data_Be2NiAu2
_chemical_formula_sum 'Be4 Ni2 Au4'
_symmetry_space_group_name_H-M 'P 4/m b m'
_symmetry_Int_Tables_number 127
_symmetry_space_group_name_Hall '-P 4 2ab'
_cell_length_a 6.9171
_cell_length_b 6.9171
_cell_length_c 2.7650
_cell_angle_alpha 90.00
_cell_angle_beta 90.00
_cell_angle_gamma 90.00
loop_
_atom_site_label
_atom_site_type_symbol
_atom_site_fract_x
_atom_site_fract_y
_atom_site_fract_z
_atom_site_occupancy
Be1 Be 0.1548 0.3452 0.0000 1
Ni1 Ni 0.0000 0.0000 0.5000 1
Au1 Au 0.1471 0.6471 0.5000 1
# Crystal system: tetragonal
# Magnetization, μB/f.u.: 0.01
# Formation energy, eV per formula unit: 0.1

***

4.
# Be2NiAu GGA-PBE relaxed
data_Be2NiAu
_chemical_formula_sum 'Be4 Ni2 Au2'
_symmetry_space_group_name_H-M 'I -4 m 2'
_symmetry_Int_Tables_number 119
_symmetry_space_group_name_Hall 'I -4 -2'
_cell_length_a 3.3834
_cell_length_b 3.3834
_cell_length_c 7.9040
_cell_angle_alpha 90.00
_cell_angle_beta 90.00
_cell_angle_gamma 90.00
loop_
_atom_site_label
_atom_site_type_symbol
_atom_site_fract_x
_atom_site_fract_y
_atom_site_fract_z
_atom_site_occupancy
Be1 Be 0.0000 0.0000 0.0000 1
Be2 Be 0.0000 0.5000 0.2500 1
Ni1 Ni 0.0000 0.5000 0.7500 1
Au1 Au 0.0000 0.0000 0.5000 1
# Crystal system: tetragonal
# Magnetization, μB/f.u.: 0.00
# Formation energy, eV per formula unit: -0.5

***

5.
# Be2Ni2Au GGA-PBE relaxed
data_Be2Ni2Au
_chemical_formula_sum 'Be4 Ni4 Au2'
_symmetry_space_group_name_H-M 'I 4/m m m'
_symmetry_Int_Tables_number 139
_symmetry_space_group_name_Hall '-I 4 2'
_cell_length_a 3.4171
_cell_length_b 3.4171
_cell_length_c 10.1502
_cell_angle_alpha 90.00
_cell_angle_beta 90.00
_cell_angle_gamma 90.00
loop_
_atom_site_label
_atom_site_type_symbol
_atom_site_fract_x
_atom_site_fract_y
_atom_site_fract_z
_atom_site_occupancy
Be1 Be 0.0000 0.5000 0.2500 1
Ni1 Ni 0.0000 0.0000 0.1181 1
Au1 Au 0.0000 0.0000 0.5000 1
# Crystal system: tetragonal
# Magnetization, μB/f.u.: 0.00
# Formation energy, eV per formula unit: 0.6

***

6.
# Be2Ni2Au GGA-PBE relaxed
data_Be2Ni2Au
_chemical_formula_sum 'Be4 Ni4 Au2'
_symmetry_space_group_name_H-M 'I 4/m m m'
_symmetry_Int_Tables_number 139
_symmetry_space_group_name_Hall '-I 4 2'
_cell_length_a 3.8777
_cell_length_b 3.8777
_cell_length_c 7.6813
_cell_angle_alpha 90.00
_cell_angle_beta 90.00
_cell_angle_gamma 90.00
loop_
_atom_site_label
_atom_site_type_symbol
_atom_site_fract_x
_atom_site_fract_y
_atom_site_fract_z
_atom_site_occupancy
Be1 Be 0.0000 0.5000 0.2500 1
Ni1 Ni 0.0000 0.0000 0.1452 1
Au1 Au 0.0000 0.0000 0.5000 1
# Crystal system: tetragonal
# Magnetization, μB/f.u.: 0.00
# Formation energy, eV per formula unit: 0.3

***

7.
# Be7NiAu12 GGA-PBE relaxed
data_Be7NiAu12
_chemical_formula_sum 'Be21 Ni3 Au36'
_symmetry_space_group_name_H-M 'R -3'
_symmetry_Int_Tables_number 148
_symmetry_space_group_name_Hall '-R 3'
_cell_length_a 14.3118
_cell_length_b 14.3118
_cell_length_c 5.1327
_cell_angle_alpha 90.00
_cell_angle_beta 90.00
_cell_angle_gamma 120.00
loop_
_atom_site_label
_atom_site_type_symbol
_atom_site_fract_x
_atom_site_fract_y
_atom_site_fract_z
_atom_site_occupancy
Be1 Be 0.0000 0.0000 0.0000 1
Be2 Be 0.0546 0.1735 0.3467 1
Ni1 Ni 0.0000 0.0000 0.5000 1
Au1 Au 0.0188 0.5884 0.1592 1
Au2 Au 0.0580 0.1818 0.8260 1
# Crystal system: trigonal
# Magnetization, μB/f.u.: 0.00
# Formation energy, eV per formula unit: -2.2

***

8.
# BeNi2Au2 GGA-PBE relaxed
data_BeNi2Au2
_chemical_formula_sum 'Be2 Ni4 Au4'
_symmetry_space_group_name_H-M 'P 4/m b m'
_symmetry_Int_Tables_number 127
_symmetry_space_group_name_Hall '-P 4 2ab'
_cell_length_a 5.6938
_cell_length_b 5.6938
_cell_length_c 4.1983
_cell_angle_alpha 90.00
_cell_angle_beta 90.00
_cell_angle_gamma 90.00
loop_
_atom_site_label
_atom_site_type_symbol
_atom_site_fract_x
_atom_site_fract_y
_atom_site_fract_z
_atom_site_occupancy
Be1 Be 0.0000 0.0000 0.0000 1
Ni1 Ni 0.1431 0.3569 0.0000 1
Au1 Au 0.1737 0.6737 0.5000 1
# Crystal system: tetragonal
# Magnetization, μB/f.u.: 0.00
# Formation energy, eV per formula unit: 0.3

***

Question: The lowest formation energy belongs to which entry?
Answer: Be7NiAu12

***

Question: Among the records above, which one has the lowest formation energy?
Answer: Be7NiAu12

***

Question: formation energy of number 7 (Be7NiAu12)?
Answer: -2.2 eV per formula unit